Rb4CdF6 | PBE | relaxed

```
data_Rb4CdF6
_chemical_formula_sum 'Rb24 Cd6 F36'
_cell_length_a 10.9085
_cell_length_b 10.9085
_cell_length_c 13.5770
_cell_angle_alpha 90.00
_cell_angle_beta 90.00
_cell_angle_gamma 120.00
_space_group_name_H-M_alt 'R -3 c'
_space_group_IT_number 167
_space_group_name_Hall '-R 3 2"c'
loop_
_atom_site_label
_atom_site_type_symbol
_atom_site_fract_x
_atom_site_fract_y
_atom_site_fract_z
Rb1 Rb 0.0000 0.0000 0.2500
Rb2 Rb 0.0000 0.3636 0.2500
Cd1 Cd 0.0000 0.0000 0.0000
F1 F 0.0251 0.1816 0.4017
```

Output
* DOS(E_F): 0.0000 states/eV per atom
* calculated total energy: -265.85 eV for the cell shown
* formation energy (no corrections): -28.30 eV/f.u.

=====

KLiAsSe3 | PBE | relaxed

```
data_KLiAsSe3
_chemical_formula_sum 'K2 Li2 As2 Se6'
_cell_length_a 8.944
_cell_length_b 4.198
_cell_length_c 9.405
_cell_angle_alpha 90.00
_cell_angle_beta 117.57
_cell_angle_gamma 90.00
_space_group_name_H-M_alt 'P 1 21/m 1'
_space_group_IT_number 11
_space_group_name_Hall '-P 2yb'
loop_
_atom_site_label
_atom_site_type_symbol
_atom_site_fract_x
_atom_site_fract_y
_atom_site_fract_z
K1 K 0.005 0.250 0.246
Li1 Li 0.456 0.250 0.570
As1 As 0.481 0.250 0.160
Se1 Se 0.276 0.750 0.168
Se2 Se 0.299 0.750 0.503
Se3 Se 0.325 0.250 0.849
```

Output
* DOS(E_F): 0.3399 states/eV per atom
* calculated total energy: -43.40 eV for the cell shown
* formation energy (no corrections): -3.59 eV/f.u.

=====

Tb3NiBi | PBE | relaxed

```
data_Tb3NiBi
_chemical_formula_sum 'Tb12 Ni4 Bi4'
_cell_length_a 12.274
_cell_length_b 5.125
_cell_length_c 9.769
_cell_angle_alpha 90.00
_cell_angle_beta 116.90
_cell_angle_gamma 90.00
_space_group_name_H-M_alt 'C 1 2/m 1'
_space_group_IT_number 12
_space_group_name_Hall '-C 2y'
loop_
_atom_site_label
_atom_site_type_symbol
_atom_site_fract_x
_atom_site_fract_y
_atom_site_fract_z
Tb1 Tb 0.127 0.000 0.255
Tb2 Tb 0.133 0.500 0.940
Tb3 Tb 0.134 0.000 0.676
Ni1 Ni 0.112 0.000 0.966
Bi1 Bi 0.104 0.500 0.431
```

Output
* DOS(E_F): 0.6701 states/eV per atom
* calculated total energy: -102.86 eV for the cell shown
* energy of formation from the pure elements: -0.432 eV per atom
* distance to the lowest polymorph of the same formula: 0.000 eV per atom

=====

SrIn5Ag | PBE | relaxed

```
data_SrIn5Ag
_chemical_formula_sum 'Sr1 In5 Ag1'
_cell_length_a 4.958
_cell_length_b 4.958
_cell_length_c 7.699
_cell_angle_alpha 90.00
_cell_angle_beta 90.00
_cell_angle_gamma 90.00
_space_group_name_H-M_alt 'P 4/m m m'
_space_group_IT_number 123
_space_group_name_Hall '-P 4 2'
loop_
_atom_site_label
_atom_site_type_symbol
_atom_site_fract_x
_atom_site_fract_y
_atom_site_fract_z
Sr1 Sr 0.000 0.000 0.000
In1 In 0.000 0.500 0.296
In2 In 0.500 0.500 0.000
Ag1 Ag 0.000 0.000 0.500
```

Output
* DOS(E_F): 0.6057 states/eV per atom
* calculated total energy: -19.48 eV for the cell shown
* energy of formation from the pure elements: -0.179 eV per atom